# 1
Crystalline CePmTm2 at its relaxed geometry, computed with PBE.

```
data_CePmTm2
_symmetry_space_group_name_H-M 'P 1'
_symmetry_Int_Tables_number 1
_cell_length_a 3.469
_cell_length_b 6.691
_cell_length_c 11.527
_cell_angle_alpha 94.74
_cell_angle_beta 107.63
_cell_angle_gamma 74.99
loop_
_symmetry_equiv_pos_as_xyz
'x,y,z'
loop_
_atom_site_label
_atom_site_fract_x
_atom_site_fract_y
_atom_site_fract_z
_atom_site_occupancy
Tm1 0.028 0.012 0.553 1
Tm2 0.762 0.562 0.062 1
Tm3 0.751 0.543 0.541 1
Pm1 0.906 0.788 0.819 1
Tm4 0.485 0.093 0.050 1
Pm2 0.607 0.317 0.784 1
Ce1 0.357 0.834 0.293 1
Ce2 0.156 0.271 0.310 1
```

Output
- E: -0.356 Ry per atom
- Formation energy from the elements: 0.0641 eV per atom



# 2
Crystalline SmGdCuSn at its relaxed geometry, computed with PBE.

```
data_SmGdCuSn
_symmetry_space_group_name_H-M 'P 1'
_symmetry_Int_Tables_number 1
_cell_length_a 5.226
_cell_length_b 5.226
_cell_length_c 5.226
_cell_angle_alpha 60.00
_cell_angle_beta 60.00
_cell_angle_gamma 60.00
loop_
_symmetry_equiv_pos_as_xyz
'x,y,z'
loop_
_atom_site_label
_atom_site_fract_x
_atom_site_fract_y
_atom_site_fract_z
_atom_site_occupancy
Sm1 0.000 0.000 0.000 1
Sn1 0.250 0.250 0.250 1
Gd1 0.500 0.500 0.500 1
Cu1 0.750 0.750 0.750 1
```

Output
- E: -0.527 Ry per atom
- Formation energy from the elements: -0.4405 eV per atom